First-principles (PBE) data for a relaxed structure of La8IrOs3I4, as listed in Alexandria.

abc: 9.548 9.548 9.548
angles: 52.93 52.93 52.93
Element x y z (fractional)
La1 0.223 0.730 0.730
La2 0.228 0.228 0.228
La3 0.270 0.270 0.777
La4 0.270 0.777 0.270
La5 0.730 0.223 0.730
La6 0.730 0.730 0.223
La7 0.772 0.772 0.772
La8 0.777 0.270 0.270
Ir1 0.500 0.500 0.500
Os1 0.000 0.000 0.500
Os2 0.000 0.500 0.000
Os3 0.500 0.000 0.000
I1 0.000 0.000 0.000
I2 0.000 0.500 0.500
I3 0.500 0.000 0.500
I4 0.500 0.500 0.000

ΔE_f (raw) = -787 meV/atom
Energy = -6.2974 eV/atom
Space group = R-3m, No. 166